*i*
Here is a relaxed structure of MgTaIr2 from Alexandria. Energies are from PBEsol.

Geometry as extended XYZ:
```
4
Lattice="-1.092 -1.992 -1.563 2.462 -0.510 1.131 -4.208 -3.606 7.537" Properties=species:S:1:pos:R:3 pbc="T T T"
Ir -4.201 -3.599 7.523
Ir -2.466 -3.951 5.427
Mg -2.172 -1.861 3.889
Ta -0.313 -2.106 1.571
```

Computed properties:
- M_tot (μB per atom) = 0.000
- calculated volume (Å³/cell) = 63.42
- DOS at the Fermi energy (states/eV/cell) = 3.245

***

*ii*
Here is a relaxed structure of MgTaIr2 from Alexandria. Energies are from PBEsol.

Geometry as extended XYZ:
```
4
Lattice="2.989 0.000 0.000 0.000 2.989 0.000 0.000 0.000 6.916" Properties=species:S:1:pos:R:3 pbc="T T T"
Mg 1.494 1.494 0.000
Ir 0.000 0.000 5.149
Ir 0.000 0.000 1.767
Ta 1.494 1.494 3.458
```

Computed properties:
- M_tot (μB per atom) = 0.000
- calculated volume (Å³/cell) = 61.77
- DOS at the Fermi energy (states/eV/cell) = 2.556

***

Relative to the most stable structure, the computed energies are *i* 0.653; *ii* 0.000, all in eV/atom.

***

*i*
Here is a relaxed structure of Li2VP2O7 from Alexandria. Energies are from PBEsol.

Geometry as extended XYZ:
```
24
Lattice="-0.006 -5.034 -0.315 4.164 -2.441 -1.461 5.301 -3.281 11.873" Properties=species:S:1:pos:R:3 pbc="T T T"
Li 3.723 -5.478 6.691
Li 6.307 -8.211 9.915
Li 3.153 -2.545 0.183
Li 5.737 -5.278 3.407
V 4.733 -2.861 5.206
V -0.003 -2.517 -0.157
P 2.834 -5.302 3.877
P 1.886 -5.111 0.858
P 7.573 -5.645 9.240
P 6.625 -5.454 6.221
O 5.336 -4.631 6.220
O 3.011 -5.705 0.009
O 0.601 -0.891 1.075
O 2.366 -5.203 2.366
O 7.799 -7.128 9.533
O 5.869 -8.435 3.179
O 3.063 -3.868 4.355
O 6.397 -6.888 5.743
O 3.591 -2.321 6.919
O 1.660 -3.627 0.565
O 7.093 -5.553 7.732
O 8.858 -9.865 9.022
O 6.449 -5.051 10.089
O 4.123 -6.125 3.878
```

Computed properties:
- M_tot (μB per atom) = 0.250
- calculated volume (Å³/cell) = 288.30

***

*ii*
Here is a relaxed structure of Li2VP2O7 from Alexandria. Energies are from PBEsol.

Geometry as extended XYZ:
```
24
Lattice="-4.177 1.700 2.160 -1.718 -4.352 -5.254 0.116 -6.407 5.269" Properties=species:S:1:pos:R:3 pbc="T T T"
Li -4.004 -4.282 3.383
Li -1.798 -3.506 -2.253
Li -4.514 -4.836 -1.433
Li -1.245 -5.284 4.481
V -3.786 0.129 0.251
V -2.050 -5.994 -0.702
P -3.324 -3.090 0.481
P -2.439 -6.851 2.420
P -4.804 -7.172 0.651
P -0.984 -1.366 1.096
O -4.059 -0.132 2.310
O -1.736 -8.058 -0.849
O -3.703 -4.161 5.481
O -2.064 -5.547 -2.772
O -4.148 -3.847 1.514
O -1.580 -7.993 2.948
O -4.045 -1.879 -0.090
O -1.755 -6.042 1.329
O -2.926 -5.909 3.538
O -2.837 -3.995 -0.668
O -1.721 -0.110 0.643
O -4.103 -6.470 -0.506
O -2.037 -2.570 1.302
O -3.722 -7.584 1.774
```

Computed properties:
- M_tot (μB per atom) = 0.250
- calculated volume (Å³/cell) = 275.62

***

Relative to the most stable structure, the computed energies are *i* 0.023; *ii* 0.000, all in eV/atom.

***

*i*
Here is a relaxed structure of Li3Pt from Alexandria. Energies are from PBEsol.

Geometry as extended XYZ:
```
8
Lattice="-2.206 -2.073 -3.065 -1.807 -2.510 2.999 -2.432 6.169 0.604" Properties=species:S:1:pos:R:3 pbc="T T T"
Pt -3.052 -1.378 0.101
Pt -3.393 2.964 0.436
Li -5.187 0.487 0.376
Li -3.123 0.684 1.785
Li -1.103 -1.037 -1.532
Li -1.258 1.099 0.162
Li -3.322 0.902 -1.247
Li -0.904 -1.255 1.499
```

Computed properties:
- M_tot (μB per atom) = 0.000
- calculated volume (Å³/cell) = 109.87
- DOS at the Fermi energy (states/eV/cell) = 2.272

***

*ii*
Here is a relaxed structure of Li3Pt from Alexandria. Energies are from PBEsol.

Geometry as extended XYZ:
```
8
Lattice="-3.342 1.985 2.088 1.315 -2.555 4.532 2.156 4.789 -1.103" Properties=species:S:1:pos:R:3 pbc="T T T"
Pt -0.911 1.382 4.220
Pt 1.040 2.837 1.298
Li 0.628 -0.762 4.059
Li 1.641 1.490 3.541
Li 0.119 3.779 3.590
Li -1.513 2.729 1.977
Li -0.499 4.981 1.459
Li 0.010 0.440 1.928
```

Computed properties:
- M_tot (μB per atom) = 0.000
- calculated volume (Å³/cell) = 110.02
- DOS at the Fermi energy (states/eV/cell) = 1.922

***

Relative to the most stable structure, the computed energies are *i* 0.000; *ii* 0.014, all in eV/atom.

***

*i*
Here is a relaxed structure of LiCu2Pt from Alexandria. Energies are from PBEsol.

Geometry as extended XYZ:
```
4
Lattice="2.762 0.000 0.000 0.000 4.342 0.039 0.000 -1.209 4.170" Properties=species:S:1:pos:R:3 pbc="T T T"
Pt 1.381 1.566 2.105
Cu 0.000 2.171 0.020
Cu 0.000 -0.605 2.085
Li 1.381 0.000 0.000
```

Computed properties:
- M_tot (μB per atom) = 0.000
- calculated volume (Å³/cell) = 50.14
- DOS at the Fermi energy (states/eV/cell) = 1.142

***

*ii*
Here is a relaxed structure of LiCu2Pt from Alexandria. Energies are from PBEsol.

Geometry as extended XYZ:
```
4
Lattice="-2.131 -0.030 -1.711 -2.468 -1.827 3.105 0.495 4.231 1.492" Properties=species:S:1:pos:R:3 pbc="T T T"
Pt -2.142 0.770 2.654
Cu -0.018 0.024 0.022
Cu -1.948 1.597 0.215
Li -1.801 3.284 2.185
```

Computed properties:
- M_tot (μB per atom) = 0.000
- calculated volume (Å³/cell) = 49.96
- DOS at the Fermi energy (states/eV/cell) = 1.414

***

Relative to the most stable structure, the computed energies are *i* 0.000; *ii* 0.034, all in eV/atom.

***

*i*
Here is a relaxed structure of AuBr5 from Alexandria. Energies are from PBEsol.

Geometry as extended XYZ:
```
6
Lattice="-2.482 2.878 -0.501 -0.116 -3.583 -5.334 -5.373 -4.130 2.891" Properties=species:S:1:pos:R:3 pbc="T T T"
Au -0.071 -0.112 -0.292
Br -1.685 0.739 -2.076
Br -1.056 -1.668 -4.345
Br -4.007 -0.752 0.867
Br -3.219 -2.906 -0.746
Br -4.911 -2.180 -2.854
```

Computed properties:
- M_tot (μB per atom) = 0.000
- calculated volume (Å³/cell) = 173.25
- DOS at the Fermi energy (states/eV/cell) = 3.129

***

*ii*
Here is a relaxed structure of AuBr5 from Alexandria. Energies are from PBEsol.

Geometry as extended XYZ:
```
6
Lattice="-2.716 0.382 0.418 -0.564 -1.640 -2.165 -0.390 -16.900 12.901" Properties=species:S:1:pos:R:3 pbc="T T T"
Au -1.640 -0.629 -0.873
Br -0.328 -14.226 10.860
Br -0.062 -2.674 2.041
Br -1.901 -11.964 7.779
Br -1.768 -6.194 3.375
Br -0.195 -8.450 6.450
```

Computed properties:
- M_tot (μB per atom) = 0.000
- calculated volume (Å³/cell) = 163.63
- DOS at the Fermi energy (states/eV/cell) = 2.476

***

Relative to the most stable structure, the computed energies are *i* 0.000; *ii* 0.235, all in eV/atom.

***

*i*
Here is a relaxed structure of IrRh2Cl from Alexandria. Energies are from PBEsol.

Geometry as extended XYZ:
```
4
Lattice="4.321 0.000 0.000 2.160 3.742 0.000 2.160 1.247 3.528" Properties=species:S:1:pos:R:3 pbc="T T T"
Ir 2.160 1.247 0.882
Rh 0.000 0.000 0.000
Rh 6.481 3.742 2.646
Cl 4.321 2.495 1.764
```

Computed properties:
- M_tot (μB per atom) = 0.001
- calculated volume (Å³/cell) = 57.05
- DOS at the Fermi energy (states/eV/cell) = 6.563

***

*ii*
Here is a relaxed structure of IrRh2Cl from Alexandria. Energies are from PBEsol.

Geometry as extended XYZ:
```
4
Lattice="-2.638 -0.908 -0.288 -1.264 -1.331 2.120 -4.089 6.451 3.466" Properties=species:S:1:pos:R:3 pbc="T T T"
Ir 0.000 0.000 0.000
Rh -2.012 1.091 1.339
Rh -5.979 3.122 3.959
Cl -3.996 2.106 2.649
```

Computed properties:
- M_tot (μB per atom) = 0.000
- calculated volume (Å³/cell) = 56.06
- DOS at the Fermi energy (states/eV/cell) = 4.626

***

Relative to the most stable structure, the computed energies are *i* 0.589; *ii* 0.000, all in eV/atom.